This record from Alexandria describes a relaxed SrErV2O8 crystal. The functional is GGA+U.

Lattice parameters (Å, degrees): 6.154 6.154 6.154 106.02 106.02 116.63
Atoms (fractional coordinates):
Sr  0.000  0.000  0.000
Er  0.250  0.750  0.500
V  0.500  0.500  0.000
V  0.750  0.250  0.500
O  0.342  0.151  0.809
O  0.342  0.533  0.191
O  0.396  0.071  0.325
O  0.467  0.658  0.809
O  0.745  0.071  0.675
O  0.849  0.658  0.191
O  0.929  0.255  0.325
O  0.929  0.604  0.675

Results
ρ ... 4.54 g cm⁻³
V ... 14.776 Å³/atom
VASP energy ... -7.447 eV/atom